# 1
DFT (PBE) results for a geometry-optimized AcTb3Ho2 structure.

```
AcTb3Ho2
1.0
-2.394 2.154 1.836
-8.100 -8.231 -0.908
8.063 -0.803 7.714
Ac Tb Ho
2 6 4
Cartesian
5.258 0.094 6.745
-7.690 -6.975 1.896
2.554 -1.145 4.673
-4.709 -5.520 0.334
1.186 -3.988 6.224
-4.985 -5.736 3.969
-3.618 -2.893 2.418
2.278 -1.361 8.308
-1.450 -5.168 4.171
-0.982 -1.713 4.471
-1.665 -5.275 7.759
-0.767 -1.605 0.883
```

## Properties
ΔH_f (0 K): 0.04 eV/atom
Space-group type: No. 12
Energy above the lowest structure with this stoichiometry: 0 meV per atom

***

# 2
DFT (PBE) results for a geometry-optimized AcTbHo14 structure.

```
AcTbHo14
1.0
-5.028 5.160 -0.829
-1.507 -5.938 3.881
3.744 5.146 9.327
Ac Tb Ho
1 1 14
Cartesian
-2.092 -4.095 3.099
-3.850 1.447 0.747
-1.983 4.035 5.404
-0.222 -1.514 7.759
-1.352 -1.115 1.158
0.532 1.453 5.819
-4.599 -1.501 2.675
-2.736 1.064 7.345
0.850 4.554 7.325
-0.982 2.036 2.761
-2.392 4.168 8.839
-4.223 1.650 4.276
-1.636 7.169 6.947
-3.504 4.600 2.291
0.104 1.612 9.255
-1.732 -0.912 4.681
```

## Properties
ΔH_f (0 K): 0.02 eV/atom
Space-group type: No. 38

***

no.,spin magnetization (μB per formula unit)
1,0.000
2,0.004